DFT (PBE-GGA) results for a relaxed ZrV2Ni2 crystal.

Output
volume = 14.2 Å³/atom
ΔE_f = -0.0209 eV/atom
distance to the lowest polymorph of the same formula = 0.052 eV/atom

Cell lengths 7.3019, 7.3019, 2.6586 Å; angles 90.00, 90.00, 90.00 degrees
Last column: nearest neighbours and their distance in Å.
Space group P4/mbm (No. 127)
Unique sites:
Zr: 0.0000 0.0000 0.0000 (multiplicity 2)  2 Zr 2.66, 4 Ni 2.89
V: 0.1677 0.3323 0.5000 (multiplicity 4)  6 Ni 2.53, 2 V 2.66
Ni: 0.1237 0.6237 0.0000 (multiplicity 4)  6 V 2.53, 3 Ni 2.55-2.66